Compound: RhICl2
Source: Alexandria via LeMat-Bulk
Functional: PBE-GGA
Structure: optimized geometry

abc: 5.0396 5.0396 5.0396
angles: 60.00 60.00 60.00
With the nearest neighbours (Å) after each atom.
Fractional positions:
Cl (0.7500, 0.7500, 0.7500)  4 Rh 3.09, 4 I 3.09
Cl (0.2500, 0.2500, 0.2500)  4 I 3.09, 4 Rh 3.09
I (0.5000, 0.5000, 0.5000)  8 Cl 3.09
Rh (0.0000, 0.0000, 0.0000)  8 Cl 3.09

Calculated values
energy above the lowest structure with this stoichiometry: 928 meV/atom
symmetry: Fm-3m
mass density: 5.52 Mg/m³

---

Compound: Rh2ICl
Source: Alexandria via LeMat-Bulk
Functional: PBE-GGA
Structure: optimized geometry

abc: 6.2588 6.2588 6.4660
angles: 61.05 61.05 90.00
With the nearest neighbours (Å) after each atom.
Fractional positions:
Cl (0.5000, 0.5000, 0.0000)  4 Rh 2.47
Rh (0.8750, 0.8643, 0.7500)  2 Cl 2.47, 2 I 2.55
Rh (0.3750, 0.3857, 0.7500)  2 Cl 2.47, 2 I 2.55
Cl (0.2500, 0.7500, 0.5000)  4 Rh 2.47
I (0.7500, 0.2500, 0.5000)  4 Rh 2.55
I (0.0000, 0.0000, 0.0000)  4 Rh 2.55
Rh (0.6143, 0.1250, 0.2500)  2 Cl 2.47, 2 I 2.55
Rh (0.1357, 0.6250, 0.2500)  2 Cl 2.47, 2 I 2.55

Calculated values
energy above the lowest structure with this stoichiometry: 0 meV/atom
symmetry: I-42d
mass density: 6.62 Mg/m³

---

Compound: RhI2Cl
Source: Alexandria via LeMat-Bulk
Functional: PBE-GGA
Structure: optimized geometry

abc: 5.0633 5.0633 5.0633
angles: 60.00 60.00 60.00
With the nearest neighbours (Å) after each atom.
Fractional positions:
I (0.7500, 0.7500, 0.7500)  4 Rh 3.10, 4 Cl 3.10
Cl (0.0000, 0.0000, 0.0000)  8 I 3.10
I (0.2500, 0.2500, 0.2500)  4 Cl 3.10, 4 Rh 3.10
Rh (0.5000, 0.5000, 0.5000)  8 I 3.10

Calculated values
energy above the lowest structure with this stoichiometry: 777 meV/atom
symmetry: Fm-3m
mass density: 7.09 Mg/m³